(1)
The following is a SCAN calculation of a PBEsol-optimized structure of La2SiIr, from Alexandria via LeMat-Bulk.

```
data_La2SiIr
_space_group_name_H-M_alt 'R 3 m'
_space_group_IT_number 160
_space_group_name_Hall 'R 3 -2"'
_cell_length_a 4.3550
_cell_length_b 4.3550
_cell_length_c 16.6255
_cell_angle_alpha 90.00
_cell_angle_beta 90.00
_cell_angle_gamma 120.00
loop_
_atom_site_label
_atom_site_fract_x
_atom_site_fract_y
_atom_site_fract_z
La1 0.0000 0.0000 0.0000
La2 0.0000 0.0000 0.2082
Si1 0.0000 0.0000 0.4305
Ir1 0.0000 0.0000 0.7795
```

Formation energy without anion corrections in eV/atom: -0.82
DOS at the Fermi energy in states/eV/f.u.: 3.52

(2)
The following is a SCAN calculation of a PBEsol-optimized structure of GaGeTe, from Alexandria via LeMat-Bulk.

```
data_GaGeTe
_space_group_name_H-M_alt 'R -3 m'
_space_group_IT_number 166
_space_group_name_Hall '-R 3 2"'
_cell_length_a 4.0440
_cell_length_b 4.0440
_cell_length_c 34.6976
_cell_angle_alpha 90.00
_cell_angle_beta 90.00
_cell_angle_gamma 120.00
loop_
_atom_site_label
_atom_site_fract_x
_atom_site_fract_y
_atom_site_fract_z
Ga1 0.0000 0.0000 0.2482
Ge1 0.0000 0.0000 0.1782
Te1 0.0000 0.0000 0.3818
```

Formation energy without anion corrections in eV/atom: -0.24

(3)
The following is a SCAN calculation of a PBEsol-optimized structure of MgO, from Alexandria via LeMat-Bulk.

```
data_MgO
_space_group_name_H-M_alt 'R -3 m'
_space_group_IT_number 166
_space_group_name_Hall '-R 3 2"'
_cell_length_a 2.9712
_cell_length_b 2.9712
_cell_length_c 59.4142
_cell_angle_alpha 90.00
_cell_angle_beta 90.00
_cell_angle_gamma 120.00
loop_
_atom_site_label
_atom_site_fract_x
_atom_site_fract_y
_atom_site_fract_z
Mg1 0.0000 0.0000 0.0000
Mg2 0.0000 0.0000 0.0846
Mg3 0.0000 0.0000 0.2077
Mg4 0.0000 0.0000 0.3756
Mg5 0.0000 0.0000 0.5000
O1 0.0000 0.0000 0.1461
O2 0.0000 0.0000 0.2692
O3 0.0000 0.0000 0.3129
O4 0.0000 0.0000 0.4384
```

Formation energy without anion corrections in eV/atom: -2.95
DOS at the Fermi energy in states/eV/f.u.: 0.00

(4)
The following is a SCAN calculation of a PBEsol-optimized structure of LiNiB2, from Alexandria via LeMat-Bulk.

```
data_LiNiB2
_space_group_name_H-M_alt 'I 41/a m d'
_space_group_IT_number 141
_cell_length_a 3.334
_cell_length_b 3.334
_cell_length_c 14.427
_cell_angle_alpha 90.00
_cell_angle_beta 90.00
_cell_angle_gamma 90.00
loop_
_space_group_symop_operation_xyz
'x,y,z'
'-x,-y,-z'
'-y+1/4,x+3/4,z+1/4'
'y+1/4,-x+3/4,-z+1/4'
'-x+1/2,-y,z+1/2'
'x+1/2,y,-z+1/2'
'y+1/4,-x+1/4,z+3/4'
'-y+1/4,x+1/4,-z+3/4'
'x,-y,-z'
'-x,y,z'
'-y+1/4,-x+1/4,-z+3/4'
'y+1/4,x+1/4,z+3/4'
'-x+1/2,y,-z+1/2'
'x+1/2,-y,z+1/2'
'y+1/4,x+3/4,-z+1/4'
'-y+1/4,-x+3/4,z+1/4'
'x+1/2,y+1/2,z+1/2'
'-x+1/2,-y+1/2,-z+1/2'
'-y+3/4,x+1/4,z+3/4'
'y+3/4,-x+1/4,-z+3/4'
'-x,-y+1/2,z'
'x,y+1/2,-z'
'y+3/4,-x+3/4,z+1/4'
'-y+3/4,x+3/4,-z+1/4'
'x+1/2,-y+1/2,-z+1/2'
'-x+1/2,y+1/2,z+1/2'
'-y+3/4,-x+3/4,-z+1/4'
'y+3/4,x+3/4,z+1/4'
'-x,y+1/2,-z'
'x,-y+1/2,z'
'y+3/4,x+1/4,-z+3/4'
'-y+3/4,-x+1/4,z+3/4'
loop_
_atom_site_label
_atom_site_fract_x
_atom_site_fract_y
_atom_site_fract_z
Li1 0.000 0.250 0.375
Ni1 0.000 0.250 0.875
B1 0.000 0.000 0.000
```

Total DFT energy (no corrections) in eV per atom: -8.241
DOS at the Fermi energy in states/eV/f.u.: 1.81

(5)
The following is a SCAN calculation of a PBEsol-optimized structure of CaRhCl, from Alexandria via LeMat-Bulk.

```
data_CaRhCl
_space_group_name_H-M_alt 'I 4 m m'
_space_group_IT_number 107
_space_group_name_Hall 'I 4 -2'
_cell_length_a 3.177
_cell_length_b 3.177
_cell_length_c 10.886
_cell_angle_alpha 90.00
_cell_angle_beta 90.00
_cell_angle_gamma 90.00
loop_
_atom_site_label
_atom_site_fract_x
_atom_site_fract_y
_atom_site_fract_z
Ca1 0.000 0.000 0.000
Rh1 0.000 0.000 0.673
Cl1 0.000 0.000 0.339
```

Formation energy without anion corrections in eV/atom: -0.58
DOS at the Fermi energy in states/eV/f.u.: 2.41

(6)
The following is a SCAN calculation of a PBEsol-optimized structure of SrY2P, from Alexandria via LeMat-Bulk.

```
data_SrY2P
_space_group_name_H-M_alt 'I m m 2'
_space_group_IT_number 44
_cell_length_a 3.654
_cell_length_b 4.137
_cell_length_c 16.359
_cell_angle_alpha 90.00
_cell_angle_beta 90.00
_cell_angle_gamma 90.00
loop_
_space_group_symop_operation_xyz
'x,y,z'
'-x,-y,z'
'-x,y,z'
'x,-y,z'
'x+1/2,y+1/2,z+1/2'
'-x+1/2,-y+1/2,z+1/2'
'-x+1/2,y+1/2,z+1/2'
'x+1/2,-y+1/2,z+1/2'
loop_
_atom_site_label
_atom_site_fract_x
_atom_site_fract_y
_atom_site_fract_z
Sr1 0.000 0.000 0.000
Y1 0.000 0.000 0.668
Y2 0.000 0.500 0.824
P1 0.000 0.500 0.315
```

Total DFT energy (no corrections) in eV per atom: -22.679
DOS at the Fermi energy in states/eV/f.u.: 2.61